Entry from the Alexandria database: a relaxed structure of TeIr2Pt (PBE).

Computed properties:
- Formation energy from raw total energies: 68.6 kJ/mol of atoms

Cell lengths 5.4843, 5.4843, 12.7676 Å; angles 90.00, 90.00, 90.00 degrees
Space group I-42d (No. 122)
One atom of each set of equivalent atoms:
Te1 0.0000 0.0000 0.0000
Ir1 0.2382 0.2500 0.6250
Pt1 0.0000 0.0000 0.5000

Entry from the Alexandria database: a relaxed structure of Te6Ir2Pt (PBE).

Computed properties:
- Formation energy from raw total energies: -2.2 kJ/mol of atoms

Cell lengths 6.1693, 6.1693, 12.6777 Å; angles 90.00, 90.00, 90.00 degrees
Space group P4_2/mnm (No. 136)
One atom of each set of equivalent atoms:
Te1 0.1914 0.1914 0.0000
Te2 0.1934 0.1934 0.3302
Ir1 0.0000 0.0000 0.1648
Pt1 0.0000 0.0000 0.5000

Entry from the Alexandria database: a relaxed structure of TeIr2Pt (PBE).

Computed properties:
- Formation energy from raw total energies: 41.8 kJ/mol of atoms

Cell lengths 2.8822, 4.8078, 4.9023 Å; angles 90.00, 90.00, 90.00 degrees
Space group Pmmm (No. 47)
One atom of each set of equivalent atoms:
Te1 0.0000 0.0000 0.0000
Ir1 0.0000 0.5000 0.5000
Ir2 0.5000 0.5000 0.0000
Pt1 0.5000 0.0000 0.5000

Entry from the Alexandria database: a relaxed structure of TeIr2Pt (PBE).

Computed properties:
- Formation energy from raw total energies: 33.6 kJ/mol of atoms

Cell lengths 8.5719, 3.4636, 4.7862 Å; angles 90.00, 105.18, 90.00 degrees
Space group C2/m (No. 12)
One atom of each set of equivalent atoms:
Te1 0.0000 0.0000 0.0000
Ir1 0.2495 0.0000 0.7329
Pt1 0.0000 0.5000 0.5000

Entry from the Alexandria database: a relaxed structure of Te4IrPt (PBE).

Computed properties:
- Polymorph energy (0 for the lowest one): 315 meV per atom
- Formation energy from raw total energies: -4.6 kJ/mol of atoms

Cell lengths 8.7495, 8.7495, 8.4807 Å; angles 90.00, 90.00, 90.00 degrees
Space group I4_1md (No. 109)
One atom of each set of equivalent atoms:
Te1 0.0000 0.3061 0.0000
Te2 0.0000 0.3088 0.4936
Ir1 0.0000 0.0000 0.9956
Pt1 0.0000 0.0000 0.4969

Entry from the Alexandria database: a relaxed structure of TeIr2Pt (PBE).

Computed properties:
- Formation energy from raw total energies: 61.1 kJ/mol of atoms

Cell lengths 2.8712, 5.0399, 9.5080 Å; angles 90.00, 90.00, 90.00 degrees
Space group Cmmm (No. 65)
One atom of each set of equivalent atoms:
Te1 0.0000 0.0000 0.0000
Ir1 0.0000 0.5000 0.2592
Pt1 0.0000 0.0000 0.5000

Entry from the Alexandria database: a relaxed structure of TeIr2Pt (PBE).

Computed properties:
- Formation energy from raw total energies: 38.0 kJ/mol of atoms

Cell lengths 9.1348, 3.1254, 4.8644 Å; angles 90.00, 102.09, 90.00 degrees
Space group Cm (No. 8)
One atom of each set of equivalent atoms:
Te1 0.0000 0.0000 0.0000
Ir1 0.2468 0.5000 0.2562
Ir2 0.4924 0.0000 0.4876
Pt1 0.2421 0.0000 0.7251

Entry from the Alexandria database: a relaxed structure of TeIrPt (PBE).

Computed properties:
- Polymorph energy (0 for the lowest one): 77 meV per atom
- Formation energy from raw total energies: 28.0 kJ/mol of atoms

Cell lengths 8.7072, 3.9054, 7.3014 Å; angles 90.00, 90.00, 90.00 degrees
Space group Amm2 (No. 38)
One atom of each set of equivalent atoms:
Te1 0.1926 0.0000 0.0000
Ir1 0.3321 0.0000 0.3244
Pt1 0.0000 0.0000 0.3161
Pt2 0.5000 0.0000 0.0131